NdErBeGa: relaxed, PBE.

DOS(E_F)   14.5 states/eV per cell
Magnetization   0.000 μB per atom
Total energy   -4.21 eV per atom

Unit cell a=7.0948 b=7.0948 c=7.0948 alpha=90.00 beta=90.00 gamma=90.00
With the nearest neighbours (Å) after each atom.
Space group F-43m (No. 216)
Inequivalent atoms, fractional coordinates:
1 Nd 0.0000 0.0000 0.0000 x4  4 Be 3.07, 4 Ga 3.07
2 Er 0.0000 0.0000 0.5000 x4  4 Be 3.07, 4 Ga 3.07
3 Be 0.2500 0.2500 0.2500 x4  4 Er 3.07, 4 Nd 3.07
4 Ga 0.2500 0.2500 0.7500 x4  4 Er 3.07, 4 Nd 3.07